Below is a crystal of CaScMo2 relaxed with PBEsol, with properties calculated at the SCAN level.

Cell: 3.913 3.913 4.856 Å, 90.00 90.00 90.00°
Space group P4/mmm (No. 123)
One atom of each set of equivalent atoms:
1 Ca 0.000 0.000 0.000 [1 per cell]
2 Sc 0.500 0.500 0.000 [1 per cell]
3 Mo 0.000 0.500 0.500 [2 per cell]

Raw total energy in eV per atom: -22.740

Below is a crystal of Co2TcW relaxed with PBEsol, with properties calculated at the SCAN level.

Cell: 2.604 4.169 4.511 Å, 90.00 90.00 90.00°
Space group Pmm2 (No. 25)
One atom of each set of equivalent atoms:
1 Co 0.000 0.000 0.000 [1 per cell]
2 Co 0.000 0.500 0.328 [1 per cell]
3 Tc 0.500 0.500 0.852 [1 per cell]
4 W 0.500 0.000 0.493 [1 per cell]

Raw total energy in eV per atom: -34.737

no.,energy above the most stable polymorph in this dataset (meV per atom),formation energy (eV per atom),magnetization (μB per cell)
1,228,0.6774,0.000
2,0,0.1018,0.002